Entry 1:
Material: LaNd2UN4
Method: DFT, PBE
State: optimized geometry

## Properties
Its uncorrected formation energy is -1360 meV per atom. The volume comes out at 133 Å³/f.u. The magnetization is 1.1 μB per formula unit.

a = 5.105 Å, b = 5.105 Å, c = 6.263 Å
α = 114.05°, β = 114.05°, γ = 90.01°
Each line ends with the local moment (μB).
Fractional positions:
N  0.248  0.248  0.496  0.04
Nd  0.000  0.000  0.000  -0.01
Nd  0.250  0.750  0.500  -0.06
N  0.963  0.463  0.926  0.03
N  0.537  0.037  0.074  0.03
N  0.752  0.752  0.504  0.04
La  0.500  0.500  0.000  -0.01
U  0.750  0.250  0.500  -1.02


Entry 2:
Material: Tl2HgSbI
Method: DFT, PBE
State: optimized geometry

## Properties
Its uncorrected formation energy is -36 meV per atom. The volume comes out at 224 Å³/f.u. The magnetization is 0.0 μB per formula unit.

a = 6.245 Å, b = 6.245 Å, c = 5.740 Å
α = 90.00°, β = 90.00°, γ = 90.00°
Fractional positions:
Tl  0.500  0.000  0.000
Sb  0.000  0.000  0.000
Hg  0.000  0.000  0.500
I  0.500  0.500  0.500
Tl  0.000  0.500  0.000


Entry 3:
Material: Ca2CrSnN
Method: DFT, PBE
State: optimized geometry

## Properties
Its uncorrected formation energy is -558 meV per atom. The volume comes out at 103 Å³/f.u. The magnetization is 3.0 μB per formula unit.

a = 5.157 Å, b = 5.157 Å, c = 3.858 Å
α = 90.00°, β = 90.00°, γ = 90.00°
Each line ends with the local moment (μB).
Fractional positions:
Cr  0.000  0.000  0.500  2.96
Ca  0.500  0.000  0.000  0.01
Sn  0.500  0.500  0.500  -0.10
Ca  0.000  0.500  0.000  0.01
N  0.000  0.000  0.000  -0.16


Entry 4:
Material: Ac3HoGa2O9
Method: DFT, PBE
State: optimized geometry

## Properties
Its uncorrected formation energy is -2851 meV per atom. The volume comes out at 208 Å³/f.u. The magnetization is 0.0 μB per formula unit.

a = 5.753 Å, b = 5.753 Å, c = 7.259 Å
α = 90.00°, β = 90.00°, γ = 120.00°
Fractional positions:
O  0.830  0.660  0.688
O  0.000  0.500  0.000
O  0.340  0.170  0.688
O  0.830  0.170  0.688
O  0.170  0.830  0.312
O  0.500  0.500  0.000
O  0.660  0.830  0.312
O  0.500  0.000  0.000
Ga  0.667  0.333  0.829
Ac  0.000  0.000  0.000
Ac  0.333  0.667  0.708
O  0.170  0.340  0.312
Ga  0.333  0.667  0.171
Ac  0.667  0.333  0.292
Ho  0.000  0.000  0.500


Entry 5:
Material: BaLiCrSn2
Method: DFT, PBE
State: optimized geometry

## Properties
The volume comes out at 228 Å³/f.u. The magnetization is 4.4 μB per formula unit. For the formation energy, the calculation gives 114.50 kJ per mole of atoms.

a = 6.243 Å, b = 5.845 Å, c = 6.243 Å
α = 90.00°, β = 90.00°, γ = 90.00°
Each line ends with the local moment (μB).
Fractional positions:
Sn  0.500  0.000  0.000  -0.12
Li  0.500  0.500  0.500  0.00
Sn  0.000  0.000  0.500  -0.12
Cr  0.000  0.500  0.000  4.21
Ba  0.000  0.000  0.000  0.07


Entry 6:
Material: Li8Sn2H
Method: DFT, PBE
State: optimized geometry

## Properties
The volume comes out at 186 Å³/f.u. The magnetization is 0.0 μB per formula unit.

a = 4.813 Å, b = 5.745 Å, c = 7.675 Å
α = 111.36°, β = 108.27°, γ = 90.00°
Fractional positions:
Sn  0.821  0.320  0.642
Li  0.793  0.793  0.587
Li  0.620  0.888  0.240
Li  0.380  0.112  0.760
Sn  0.179  0.680  0.358
Li  0.001  0.253  0.001
Li  0.999  0.747  0.999
Li  0.620  0.360  0.240
Li  0.207  0.207  0.413
Li  0.380  0.640  0.760
H  0.500  0.000  0.000


no.,uncorrected energy (eV for the cell shown)
1,-69.94
2,-10.89
3,-28.74
4,-110.34
5,-15.53
6,-29.76